Entry 1:
DFT (PBE-GGA) results for a relaxed ZrCoSi2As crystal.

Geometry as CIF:
```
data_ZrCoSi2As
_chemical_formula_sum 'Zr1 Co1 Si2 As1'
_symmetry_space_group_name_H-M 'P 1'
_symmetry_Int_Tables_number 1
_cell_length_a 4.161
_cell_length_b 4.161
_cell_length_c 5.270
_cell_angle_alpha 90.00
_cell_angle_beta 90.00
_cell_angle_gamma 90.00
loop_
_symmetry_equiv_pos_as_xyz
'x,y,z'
loop_
_atom_site_label
_atom_site_type_symbol
_atom_site_fract_x
_atom_site_fract_y
_atom_site_fract_z
Zr1 Zr 0.000 0.000 0.000
Co1 Co 0.500 0.500 0.500
Si1 Si 0.000 0.500 0.500
Si2 Si 0.500 0.000 0.500
As1 As 0.500 0.500 0.000
```

Values from the calculation:
- uncorrected energy (eV/atom) = -6.086
- size of the total moment (μB/atom) = 0.00
- uncorrected formation energy (eV/f.u.) = 0.718

Entry 2:
DFT (PBE-GGA) results for a relaxed Li2AcInHg2 crystal.

Geometry as CIF:
```
data_Li2AcInHg2
_chemical_formula_sum 'Li2 Ac1 In1 Hg2'
_symmetry_space_group_name_H-M 'P 1'
_symmetry_Int_Tables_number 1
_cell_length_a 4.801
_cell_length_b 4.801
_cell_length_c 7.359
_cell_angle_alpha 90.00
_cell_angle_beta 90.00
_cell_angle_gamma 120.00
loop_
_symmetry_equiv_pos_as_xyz
'x,y,z'
loop_
_atom_site_label
_atom_site_type_symbol
_atom_site_fract_x
_atom_site_fract_y
_atom_site_fract_z
Li1 Li 0.333 0.667 0.144
Li2 Li 0.667 0.333 0.856
Ac1 Ac 0.000 0.000 0.500
In1 In 0.000 0.000 0.000
Hg1 Hg 0.333 0.667 0.760
Hg2 Hg 0.667 0.333 0.240
```

Values from the calculation:
- uncorrected energy (eV/atom) = -2.296
- size of the total moment (μB/atom) = 0.00
- energy relative to the elements (eV per atom) = -0.4164

Entry 3:
DFT (PBE-GGA) results for a relaxed B2H8Br crystal.

Geometry as CIF:
```
data_B2H8Br
_chemical_formula_sum 'B2 H8 Br1'
_symmetry_space_group_name_H-M 'P 1'
_symmetry_Int_Tables_number 1
_cell_length_a 4.864
_cell_length_b 4.864
_cell_length_c 5.575
_cell_angle_alpha 91.95
_cell_angle_beta 91.95
_cell_angle_gamma 78.20
loop_
_symmetry_equiv_pos_as_xyz
'x,y,z'
loop_
_atom_site_label
_atom_site_type_symbol
_atom_site_fract_x
_atom_site_fract_y
_atom_site_fract_z
B1 B 0.248 0.248 0.300
B2 B 0.752 0.752 0.700
H1 H 0.005 0.667 0.780
H2 H 0.220 0.220 0.511
H3 H 0.333 0.995 0.220
H4 H 0.392 0.392 0.215
H5 H 0.608 0.608 0.785
H6 H 0.667 0.005 0.780
H7 H 0.780 0.780 0.489
H8 H 0.995 0.333 0.220
Br1 Br 0.000 0.000 0.000
```

Values from the calculation:
- excess energy over the best structure of this formula in the dataset (eV/atom) = 0.159
- uncorrected energy (eV/atom) = -3.497
- size of the total moment (μB/atom) = 0.09

Entry 4:
DFT (PBE-GGA) results for a relaxed MgNi2HgN crystal.

Geometry as CIF:
```
data_MgNi2HgN
_chemical_formula_sum 'Mg1 Ni2 Hg1 N1'
_symmetry_space_group_name_H-M 'P 1'
_symmetry_Int_Tables_number 1
_cell_length_a 3.932
_cell_length_b 3.932
_cell_length_c 4.172
_cell_angle_alpha 90.00
_cell_angle_beta 90.00
_cell_angle_gamma 90.00
loop_
_symmetry_equiv_pos_as_xyz
'x,y,z'
loop_
_atom_site_label
_atom_site_type_symbol
_atom_site_fract_x
_atom_site_fract_y
_atom_site_fract_z
Mg1 Mg 0.000 0.000 0.000
Ni1 Ni 0.000 0.500 0.500
Ni2 Ni 0.500 0.000 0.500
Hg1 Hg 0.500 0.500 0.000
N1 N 0.000 0.000 0.500
```

Values from the calculation:
- uncorrected energy (eV/atom) = -4.428
- size of the total moment (μB/atom) = 0.00
- uncorrected formation energy (eV/f.u.) = -0.357

Entry 5:
DFT (PBE-GGA) results for a relaxed MgBiAs crystal.

Geometry as CIF:
```
data_MgBiAs
_chemical_formula_sum 'Mg4 Bi4 As4'
_symmetry_space_group_name_H-M 'P 1'
_symmetry_Int_Tables_number 1
_cell_length_a 5.852
_cell_length_b 6.853
_cell_length_c 9.069
_cell_angle_alpha 90.00
_cell_angle_beta 112.95
_cell_angle_gamma 90.00
loop_
_symmetry_equiv_pos_as_xyz
'x,y,z'
loop_
_atom_site_label
_atom_site_type_symbol
_atom_site_fract_x
_atom_site_fract_y
_atom_site_fract_z
Mg1 Mg 0.196 0.086 0.421
Mg2 Mg 0.196 0.414 0.921
Mg3 Mg 0.804 0.586 0.079
Mg4 Mg 0.804 0.914 0.579
Bi1 Bi 0.384 0.599 0.609
Bi2 Bi 0.384 0.901 0.109
Bi3 Bi 0.616 0.099 0.891
Bi4 Bi 0.616 0.401 0.391
As1 As 0.042 0.239 0.128
As2 As 0.042 0.261 0.628
As3 As 0.958 0.739 0.372
As4 As 0.958 0.761 0.872
```

Values from the calculation:
- uncorrected energy (eV/atom) = -3.520
- size of the total moment (μB/atom) = 0.00
- energy relative to the elements (eV per atom) = -0.1452

Entry 6:
DFT (PBE-GGA) results for a relaxed HgSbPt2 crystal.

Geometry as CIF:
```
data_HgSbPt2
_chemical_formula_sum 'Hg1 Sb1 Pt2'
_symmetry_space_group_name_H-M 'P 1'
_symmetry_Int_Tables_number 1
_cell_length_a 4.720
_cell_length_b 4.720
_cell_length_c 3.418
_cell_angle_alpha 90.00
_cell_angle_beta 90.00
_cell_angle_gamma 90.00
loop_
_symmetry_equiv_pos_as_xyz
'x,y,z'
loop_
_atom_site_label
_atom_site_type_symbol
_atom_site_fract_x
_atom_site_fract_y
_atom_site_fract_z
Hg1 Hg 0.000 0.000 0.000
Sb1 Sb 0.500 0.500 0.000
Pt1 Pt 0.000 0.500 0.500
Pt2 Pt 0.500 0.000 0.500
```

Values from the calculation:
- uncorrected energy (eV/atom) = -4.128
- size of the total moment (μB/atom) = 0.00
- uncorrected formation energy (eV/f.u.) = -0.006

What did the second record say?
DFT (PBE-GGA) results for a relaxed Li2AcInHg2 crystal.

Geometry as CIF:
```
data_Li2AcInHg2
_chemical_formula_sum 'Li2 Ac1 In1 Hg2'
_symmetry_space_group_name_H-M 'P 1'
_symmetry_Int_Tables_number 1
_cell_length_a 4.801
_cell_length_b 4.801
_cell_length_c 7.359
_cell_angle_alpha 90.00
_cell_angle_beta 90.00
_cell_angle_gamma 120.00
loop_
_symmetry_equiv_pos_as_xyz
'x,y,z'
loop_
_atom_site_label
_atom_site_type_symbol
_atom_site_fract_x
_atom_site_fract_y
_atom_site_fract_z
Li1 Li 0.333 0.667 0.144
Li2 Li 0.667 0.333 0.856
Ac1 Ac 0.000 0.000 0.500
In1 In 0.000 0.000 0.000
Hg1 Hg 0.333 0.667 0.760
Hg2 Hg 0.667 0.333 0.240
```

Values from the calculation:
- uncorrected energy (eV/atom) = -2.296
- size of the total moment (μB/atom) = 0.00
- energy relative to the elements (eV per atom) = -0.4164

- What is the uncorrected energy in the fifth record?
  -3.520 eV/atom

What did the third record say?
DFT (PBE-GGA) results for a relaxed B2H8Br crystal.

Geometry as CIF:
```
data_B2H8Br
_chemical_formula_sum 'B2 H8 Br1'
_symmetry_space_group_name_H-M 'P 1'
_symmetry_Int_Tables_number 1
_cell_length_a 4.864
_cell_length_b 4.864
_cell_length_c 5.575
_cell_angle_alpha 91.95
_cell_angle_beta 91.95
_cell_angle_gamma 78.20
loop_
_symmetry_equiv_pos_as_xyz
'x,y,z'
loop_
_atom_site_label
_atom_site_type_symbol
_atom_site_fract_x
_atom_site_fract_y
_atom_site_fract_z
B1 B 0.248 0.248 0.300
B2 B 0.752 0.752 0.700
H1 H 0.005 0.667 0.780
H2 H 0.220 0.220 0.511
H3 H 0.333 0.995 0.220
H4 H 0.392 0.392 0.215
H5 H 0.608 0.608 0.785
H6 H 0.667 0.005 0.780
H7 H 0.780 0.780 0.489
H8 H 0.995 0.333 0.220
Br1 Br 0.000 0.000 0.000
```

Values from the calculation:
- excess energy over the best structure of this formula in the dataset (eV/atom) = 0.159
- uncorrected energy (eV/atom) = -3.497
- size of the total moment (μB/atom) = 0.09